# CoCuNi2H

A relaxed structure of CoCuNi2H (PBE-GGA, Alexandria via LeMat-Bulk).

volume: 9.34 A^3/atom
energy above the lowest structure with this stoichiometry: 0.000 eV per atom
total magnetization: 0.450 μB per atom
energy: -5.165 eV per atom

Cell lengths 3.5979, 3.5979, 3.6064 Å; angles 90.00, 90.00, 90.00 degrees
Atoms (fractional coordinates):
Co1 0.0000 0.0000 0.0000
Cu1 0.5000 0.5000 0.0000
Ni1 0.0000 0.5000 0.5000
Ni2 0.5000 0.0000 0.5000
H1 0.0000 0.0000 0.5000

=====

# NpCoCu2H8

A relaxed structure of NpCoCu2H8 (PBE-GGA, Alexandria via LeMat-Bulk).

volume: 7.78 A^3/atom
total magnetization: 0.330 μB per atom
energy: -4.628 eV per atom

Cell lengths 4.4116, 4.4499, 4.8149 Å; angles 98.68, 91.62, 90.50 degrees
Atoms (fractional coordinates):
Np1 0.0000 0.0000 0.0000
Co1 0.0000 0.5000 0.5000
Cu1 0.4988 0.4192 0.7382
Cu2 0.5012 0.5808 0.2619
H1 0.1064 0.5212 0.1911
H2 0.1840 0.2032 0.5282
H3 0.2730 0.7190 0.6131
H4 0.4984 0.1864 0.9648
H5 0.5016 0.8136 0.0352
H6 0.7270 0.2810 0.3869
H7 0.8161 0.7968 0.4718
H8 0.8936 0.4788 0.8089

=====

# NpCo2CuH8

A relaxed structure of NpCo2CuH8 (PBE-GGA, Alexandria via LeMat-Bulk).

volume: 7.48 A^3/atom
total magnetization: 0.347 μB per atom
energy: -4.858 eV per atom

Cell lengths 5.8660, 5.8660, 5.8660 Å; angles 44.40, 44.40, 44.40 degrees
Atoms (fractional coordinates):
Np1 0.0000 0.0000 0.0000
Co1 0.2000 0.2000 0.2000
Co2 0.8000 0.8000 0.8000
Cu1 0.5000 0.5000 0.5000
H1 0.1183 0.4014 0.8423
H2 0.1577 0.8817 0.5986
H3 0.3026 0.3026 0.3026
H4 0.4014 0.8423 0.1183
H5 0.5986 0.1577 0.8817
H6 0.6974 0.6974 0.6974
H7 0.8423 0.1183 0.4014
H8 0.8817 0.5986 0.1577